1.
## CoGeRh (PBE)

Data for crystalline CoGeRh at its relaxed geometry.

Structure (CIF):
```
data_CoGeRh
_space_group_name_H-M_alt 'P 1'
_space_group_IT_number 1
_space_group_name_Hall 'P 1'
_cell_length_a 5.039
_cell_length_b 5.039
_cell_length_c 5.039
_cell_angle_alpha 146.32
_cell_angle_beta 146.32
_cell_angle_gamma 48.38
loop_
_atom_site_label
_atom_site_type_symbol
_atom_site_fract_x
_atom_site_fract_y
_atom_site_fract_z
Co1 Co 0.000 0.000 0.000
Ge1 Ge 0.639 0.639 0.000
Rh1 Rh 0.305 0.305 0.000
```

Summary:
Energy of formation from the pure elements (eV/atom): -0.14
N(E_F) (states/eV/f.u.): 3.35
Volume (Å³ per cell): 39.2
Raw total energy (eV/cell): -19.5

---

2.
## CoGe2Rh2 (PBE)

Data for crystalline CoGe2Rh2 at its relaxed geometry.

Structure (CIF):
```
data_CoGe2Rh2
_space_group_name_H-M_alt 'P 1'
_space_group_IT_number 1
_space_group_name_Hall 'P 1'
_cell_length_a 7.086
_cell_length_b 7.086
_cell_length_c 2.863
_cell_angle_alpha 90.00
_cell_angle_beta 90.00
_cell_angle_gamma 90.00
loop_
_atom_site_label
_atom_site_type_symbol
_atom_site_fract_x
_atom_site_fract_y
_atom_site_fract_z
Co1 Co 0.000 0.000 0.000
Co2 Co 0.500 0.500 0.000
Ge1 Ge 0.155 0.345 0.000
Ge2 Ge 0.345 0.845 0.000
Ge3 Ge 0.655 0.155 0.000
Ge4 Ge 0.845 0.655 0.000
Rh1 Rh 0.145 0.645 0.500
Rh2 Rh 0.355 0.145 0.500
Rh3 Rh 0.645 0.855 0.500
Rh4 Rh 0.855 0.355 0.500
```

Summary:
Relative energy among the computed polymorphs (meV/atom): 0
Energy of formation from the pure elements (eV/atom): -0.19
N(E_F) (states/eV/f.u.): 3.77
Volume (Å³ per cell): 143.8
Raw total energy (eV/cell): -64.0

---

3.
## CoGeRh2 (PBE)

Data for crystalline CoGeRh2 at its relaxed geometry.

Structure (CIF):
```
data_CoGeRh2
_space_group_name_H-M_alt 'P 1'
_space_group_IT_number 1
_space_group_name_Hall 'P 1'
_cell_length_a 8.919
_cell_length_b 8.919
_cell_length_c 8.919
_cell_angle_alpha 155.70
_cell_angle_beta 155.70
_cell_angle_gamma 34.63
loop_
_atom_site_label
_atom_site_type_symbol
_atom_site_fract_x
_atom_site_fract_y
_atom_site_fract_z
Co1 Co 0.000 0.000 0.000
Co2 Co 0.750 0.250 0.500
Ge1 Ge 0.250 0.750 0.500
Ge2 Ge 0.500 0.500 0.000
Rh1 Rh 0.116 0.625 0.991
Rh2 Rh 0.375 0.366 0.491
Rh3 Rh 0.634 0.125 0.009
Rh4 Rh 0.875 0.884 0.509
```

Summary:
Energy of formation from the pure elements (eV/atom): 0.22
N(E_F) (states/eV/f.u.): 5.92
Volume (Å³ per cell): 120.0
Raw total energy (eV/cell): -51.1

---

4.
## Co2Ge2Rh (PBE)

Data for crystalline Co2Ge2Rh at its relaxed geometry.

Structure (CIF):
```
data_Co2Ge2Rh
_space_group_name_H-M_alt 'P 1'
_space_group_IT_number 1
_space_group_name_Hall 'P 1'
_cell_length_a 5.881
_cell_length_b 5.881
_cell_length_c 5.881
_cell_angle_alpha 144.33
_cell_angle_beta 144.33
_cell_angle_gamma 51.33
loop_
_atom_site_label
_atom_site_type_symbol
_atom_site_fract_x
_atom_site_fract_y
_atom_site_fract_z
Co1 Co 0.250 0.750 0.500
Co2 Co 0.750 0.250 0.500
Ge1 Ge 0.115 0.115 0.000
Ge2 Ge 0.885 0.885 0.000
Rh1 Rh 0.500 0.500 0.000
```

Summary:
Relative energy among the computed polymorphs (meV/atom): 190
Energy of formation from the pure elements (eV/atom): 0.01
N(E_F) (states/eV/f.u.): 5.50
Volume (Å³ per cell): 68.8
Raw total energy (eV/cell): -30.7

---

5.
## Co3GeRh (PBE)

Data for crystalline Co3GeRh at its relaxed geometry.

Structure (CIF):
```
data_Co3GeRh
_space_group_name_H-M_alt 'P 1'
_space_group_IT_number 1
_space_group_name_Hall 'P 1'
_cell_length_a 4.268
_cell_length_b 4.268
_cell_length_c 4.268
_cell_angle_alpha 90.00
_cell_angle_beta 90.00
_cell_angle_gamma 90.00
loop_
_atom_site_label
_atom_site_type_symbol
_atom_site_fract_x
_atom_site_fract_y
_atom_site_fract_z
Co1 Co 0.000 0.000 0.500
Co2 Co 0.000 0.500 0.000
Co3 Co 0.500 0.000 0.000
Ge1 Ge 0.000 0.000 0.000
Rh1 Rh 0.500 0.500 0.500
```

Summary:
Relative energy among the computed polymorphs (meV/atom): 0
Energy of formation from the pure elements (eV/atom): 1.00
N(E_F) (states/eV/f.u.): 9.55
Volume (Å³ per cell): 77.8
Raw total energy (eV/cell): -28.3

---

6.
## CoGe6Rh3 (PBE)

Data for crystalline CoGe6Rh3 at its relaxed geometry.

Structure (CIF):
```
data_CoGe6Rh3
_space_group_name_H-M_alt 'P 1'
_space_group_IT_number 1
_space_group_name_Hall 'P 1'
_cell_length_a 6.522
_cell_length_b 6.091
_cell_length_c 10.044
_cell_angle_alpha 90.00
_cell_angle_beta 126.11
_cell_angle_gamma 90.00
loop_
_atom_site_label
_atom_site_type_symbol
_atom_site_fract_x
_atom_site_fract_y
_atom_site_fract_z
Co1 Co 0.000 0.000 0.000
Co2 Co 0.000 0.500 0.500
Ge1 Ge 0.072 0.025 0.249
Ge2 Ge 0.072 0.475 0.749
Ge3 Ge 0.208 0.161 0.565
Ge4 Ge 0.208 0.339 0.065
Ge5 Ge 0.399 0.633 0.563
Ge6 Ge 0.399 0.867 0.063
Ge7 Ge 0.601 0.133 0.937
Ge8 Ge 0.601 0.367 0.437
Ge9 Ge 0.792 0.661 0.935
Ge10 Ge 0.792 0.839 0.435
Ge11 Ge 0.928 0.525 0.251
Ge12 Ge 0.928 0.975 0.751
Rh1 Rh 0.271 0.663 0.244
Rh2 Rh 0.271 0.837 0.744
Rh3 Rh 0.500 0.000 0.500
Rh4 Rh 0.500 0.500 0.000
Rh5 Rh 0.729 0.163 0.256
Rh6 Rh 0.729 0.337 0.756
```

Summary:
Energy of formation from the pure elements (eV/atom): -0.30
N(E_F) (states/eV/f.u.): 4.11
Volume (Å³ per cell): 322.3
Raw total energy (eV/cell): -119.7

---

7.
## Co3Ge6Rh (PBE)

Data for crystalline Co3Ge6Rh at its relaxed geometry.

Structure (CIF):
```
data_Co3Ge6Rh
_space_group_name_H-M_alt 'P 1'
_space_group_IT_number 1
_space_group_name_Hall 'P 1'
_cell_length_a 6.448
_cell_length_b 5.936
_cell_length_c 9.953
_cell_angle_alpha 90.00
_cell_angle_beta 127.38
_cell_angle_gamma 90.00
loop_
_atom_site_label
_atom_site_type_symbol
_atom_site_fract_x
_atom_site_fract_y
_atom_site_fract_z
Co1 Co 0.000 0.000 0.000
Co2 Co 0.000 0.500 0.500
Co3 Co 0.265 0.171 0.743
Co4 Co 0.265 0.329 0.243
Co5 Co 0.735 0.671 0.757
Co6 Co 0.735 0.829 0.257
Ge1 Ge 0.052 0.509 0.747
Ge2 Ge 0.052 0.991 0.247
Ge3 Ge 0.212 0.652 0.072
Ge4 Ge 0.212 0.848 0.572
Ge5 Ge 0.408 0.129 0.073
Ge6 Ge 0.408 0.371 0.573
Ge7 Ge 0.592 0.629 0.427
Ge8 Ge 0.592 0.871 0.927
Ge9 Ge 0.788 0.152 0.428
Ge10 Ge 0.788 0.348 0.928
Ge11 Ge 0.948 0.009 0.753
Ge12 Ge 0.948 0.491 0.253
Rh1 Rh 0.500 0.000 0.500
Rh2 Rh 0.500 0.500 0.000
```

Summary:
Energy of formation from the pure elements (eV/atom): -0.13
N(E_F) (states/eV/f.u.): 3.87
Volume (Å³ per cell): 302.7
Raw total energy (eV/cell): -115.4

---

8.
## Co2Ge2Rh (PBE)

Data for crystalline Co2Ge2Rh at its relaxed geometry.

Structure (CIF):
```
data_Co2Ge2Rh
_space_group_name_H-M_alt 'P 1'
_space_group_IT_number 1
_space_group_name_Hall 'P 1'
_cell_length_a 6.817
_cell_length_b 6.817
_cell_length_c 2.755
_cell_angle_alpha 90.00
_cell_angle_beta 90.00
_cell_angle_gamma 90.00
loop_
_atom_site_label
_atom_site_type_symbol
_atom_site_fract_x
_atom_site_fract_y
_atom_site_fract_z
Co1 Co 0.128 0.372 0.000
Co2 Co 0.372 0.872 0.000
Co3 Co 0.628 0.128 0.000
Co4 Co 0.872 0.628 0.000
Ge1 Ge 0.171 0.671 0.500
Ge2 Ge 0.329 0.171 0.500
Ge3 Ge 0.671 0.829 0.500
Ge4 Ge 0.829 0.329 0.500
Rh1 Rh 0.000 0.000 0.000
Rh2 Rh 0.500 0.500 0.000
```

Summary:
Relative energy among the computed polymorphs (meV/atom): 87
Energy of formation from the pure elements (eV/atom): -0.09
N(E_F) (states/eV/f.u.): 5.35
Volume (Å³ per cell): 128.0
Raw total energy (eV/cell): -62.5

---

9.
## Sc2CoGeRh (PBE)

Data for crystalline Sc2CoGeRh at its relaxed geometry.

Structure (CIF):
```
data_Sc2CoGeRh
_space_group_name_H-M_alt 'P 1'
_space_group_IT_number 1
_space_group_name_Hall 'P 1'
_cell_length_a 4.889
_cell_length_b 4.889
_cell_length_c 4.549
_cell_angle_alpha 90.00
_cell_angle_beta 90.00
_cell_angle_gamma 90.00
loop_
_atom_site_label
_atom_site_type_symbol
_atom_site_fract_x
_atom_site_fract_y
_atom_site_fract_z
Sc1 Sc 0.000 0.500 0.000
Sc2 Sc 0.500 0.000 0.000
Co1 Co 0.000 0.000 0.500
Ge1 Ge 0.500 0.500 0.500
Rh1 Rh 0.000 0.000 0.000
```

Summary:
Energy of formation from the pure elements (eV/atom): 0.16
N(E_F) (states/eV/f.u.): 4.32
Volume (Å³ per cell): 108.7
Raw total energy (eV/cell): -31.0

---

10.
## CoSiGeRh2 (PBE)

Data for crystalline CoSiGeRh2 at its relaxed geometry.

Structure (CIF):
```
data_CoSiGeRh2
_space_group_name_H-M_alt 'P 1'
_space_group_IT_number 1
_space_group_name_Hall 'P 1'
_cell_length_a 4.518
_cell_length_b 4.518
_cell_length_c 4.602
_cell_angle_alpha 90.00
_cell_angle_beta 90.00
_cell_angle_gamma 90.00
loop_
_atom_site_label
_atom_site_type_symbol
_atom_site_fract_x
_atom_site_fract_y
_atom_site_fract_z
Co1 Co 0.000 0.000 0.000
Si1 Si 0.500 0.500 0.000
Ge1 Ge 0.500 0.500 0.500
Rh1 Rh 0.000 0.500 0.500
Rh2 Rh 0.500 0.000 0.500
```

Summary:
N(E_F) (states/eV/f.u.): 6.63
Uncorrected formation energy (eV/atom): 1.09
Volume (Å³ per cell): 93.9
Raw total energy (eV/cell): -26.4

---

11.
## Sm2CoGe4Rh3 (PBE)

Data for crystalline Sm2CoGe4Rh3 at its relaxed geometry.

Structure (CIF):
```
data_Sm2CoGe4Rh3
_space_group_name_H-M_alt 'P 1'
_space_group_IT_number 1
_space_group_name_Hall 'P 1'
_cell_length_a 4.215
_cell_length_b 4.215
_cell_length_c 10.057
_cell_angle_alpha 90.00
_cell_angle_beta 90.00
_cell_angle_gamma 90.00
loop_
_atom_site_label
_atom_site_type_symbol
_atom_site_fract_x
_atom_site_fract_y
_atom_site_fract_z
Sm1 Sm 0.000 0.500 0.248
Sm2 Sm 0.500 0.000 0.752
Co1 Co 0.000 0.000 0.500
Ge1 Ge 0.000 0.000 0.000
Ge2 Ge 0.000 0.500 0.626
Ge3 Ge 0.500 0.000 0.374
Ge4 Ge 0.500 0.500 0.000
Rh1 Rh 0.000 0.500 0.870
Rh2 Rh 0.500 0.000 0.130
Rh3 Rh 0.500 0.500 0.500
```

Summary:
Energy of formation from the pure elements (eV/atom): -0.77
N(E_F) (states/eV/f.u.): 6.26
Volume (Å³ per cell): 178.7
Raw total energy (eV/cell): -64.7

---

12.
## Th2Co3Ge4Rh (PBE)

Data for crystalline Th2Co3Ge4Rh at its relaxed geometry.

Structure (CIF):
```
data_Th2Co3Ge4Rh
_space_group_name_H-M_alt 'P 1'
_space_group_IT_number 1
_space_group_name_Hall 'P 1'
_cell_length_a 4.156
_cell_length_b 4.156
_cell_length_c 9.843
_cell_angle_alpha 90.00
_cell_angle_beta 90.00
_cell_angle_gamma 90.00
loop_
_atom_site_label
_atom_site_type_symbol
_atom_site_fract_x
_atom_site_fract_y
_atom_site_fract_z
Th1 Th 0.000 0.500 0.244
Th2 Th 0.500 0.000 0.756
Co1 Co 0.000 0.500 0.876
Co2 Co 0.500 0.000 0.124
Co3 Co 0.500 0.500 0.500
Ge1 Ge 0.000 0.000 0.000
Ge2 Ge 0.000 0.500 0.636
Ge3 Ge 0.500 0.000 0.364
Ge4 Ge 0.500 0.500 0.000
Rh1 Rh 0.000 0.000 0.500
```

Summary:
Energy of formation from the pure elements (eV/atom): -0.69
N(E_F) (states/eV/f.u.): 7.04
Volume (Å³ per cell): 170.0
Raw total energy (eV/cell): -68.9